No. 1
First-principles (PBE) data for crystalline LaDy2Er4Sc at its relaxed geometry, as listed in Alexandria via LeMat-Bulk.

Geometry as POSCAR:
```
LaDy2Er4Sc
1.0
9.187 -0.039 -1.749
-0.045 9.187 -1.749
-5.777 -5.782 8.228
La Dy Er Sc
2 4 8 2
Direct
0.000 0.500 0.000
0.000 0.500 0.500
0.500 0.000 0.000
0.500 0.000 0.500
0.000 0.000 0.500
0.500 0.500 0.000
0.242 0.762 0.002
0.738 0.258 0.498
0.262 0.742 0.502
0.758 0.238 0.998
0.749 0.749 0.988
0.751 0.751 0.512
0.249 0.249 0.488
0.251 0.251 0.012
0.500 0.500 0.500
0.000 0.000 0.000
```

Computed properties:
Magnetization = 0.210 μB/atom
Final energy = -4.408 eV per atom
Density of states at the Fermi level = 2.25 states/eV/atom

No. 2
First-principles (PBE) data for crystalline La2DyEr5Sc at its relaxed geometry, as listed in Alexandria via LeMat-Bulk.

Geometry as POSCAR:
```
La2DyEr5Sc
1.0
-2.277 5.069 0.259
-3.970 -5.240 7.910
7.857 3.219 6.076
La Dy Er Sc
4 2 10 2
Direct
0.886 0.772 0.814
0.115 0.231 0.735
0.114 0.228 0.314
0.885 0.769 0.235
0.590 0.180 0.962
0.410 0.820 0.462
0.376 0.753 0.019
0.724 0.447 0.819
0.483 0.966 0.740
0.297 0.595 0.702
0.984 0.969 0.519
0.624 0.247 0.519
0.276 0.553 0.319
0.517 0.034 0.240
0.703 0.405 0.202
0.016 0.031 0.019
0.802 0.605 0.514
0.198 0.395 0.014
```

Computed properties:
Magnetization = 0.000 μB/atom
Final energy = -4.690 eV per atom
Density of states at the Fermi level = 1.24 states/eV/atom

No. 3
First-principles (PBE) data for crystalline La2Dy4ErSc at its relaxed geometry, as listed in Alexandria via LeMat-Bulk.

Geometry as POSCAR:
```
La2Dy4ErSc
1.0
9.266 0.000 -1.803
-0.006 9.266 -1.803
-5.868 -5.872 8.369
La Dy Er Sc
4 8 2 2
Direct
0.500 0.000 0.000
0.500 0.000 0.500
0.000 0.000 0.500
0.500 0.500 0.000
0.233 0.763 0.998
0.737 0.267 0.502
0.263 0.733 0.498
0.767 0.237 0.002
0.751 0.747 0.981
0.753 0.749 0.519
0.247 0.251 0.481
0.249 0.253 0.019
0.000 0.500 0.000
0.000 0.500 0.500
0.500 0.500 0.500
0.000 0.000 0.000
```

Computed properties:
Magnetization = 0.045 μB/atom
Final energy = -4.487 eV per atom
Density of states at the Fermi level = 2.41 states/eV/atom

No. 4
First-principles (PBE) data for crystalline LaDyEr2Sc2 at its relaxed geometry, as listed in Alexandria via LeMat-Bulk.

Geometry as POSCAR:
```
LaDyEr2Sc2
1.0
-1.234 1.344 -2.788
2.534 -4.642 -3.360
-14.637 -9.400 1.947
La Dy Er Sc
2 2 4 4
Direct
0.000 0.000 0.000
0.500 0.500 0.500
0.500 0.500 0.000
0.000 0.000 0.500
0.500 0.288 0.306
0.000 0.788 0.194
0.500 0.712 0.694
0.000 0.212 0.806
0.500 0.792 0.354
0.500 0.208 0.646
0.000 0.708 0.854
0.000 0.292 0.146
```

Computed properties:
Magnetization = 0.000 μB/atom
Final energy = -4.940 eV per atom
Density of states at the Fermi level = 1.74 states/eV/atom

No. 5
First-principles (PBE) data for crystalline La2Dy3ErSe6 at its relaxed geometry, as listed in Alexandria via LeMat-Bulk.

Geometry as POSCAR:
```
La2Dy3ErSe6
1.0
-3.119 -2.335 -1.326
2.100 -5.941 5.522
-4.274 6.367 5.226
La Dy Er Se
2 3 1 6
Direct
0.833 0.665 0.666
0.167 0.335 0.334
0.500 0.500 0.000
0.830 0.165 0.659
0.170 0.835 0.341
0.500 0.000 0.000
0.336 0.930 0.672
0.662 0.594 0.324
0.664 0.070 0.328
0.994 0.244 0.989
0.006 0.756 0.011
0.338 0.406 0.676
```

Computed properties:
Magnetization = 0.000 μB/atom
Raw formation energy = -1819 meV per atom
Final energy = -5.913 eV per atom
Density of states at the Fermi level = 0.52 states/eV/atom

No. 6
First-principles (PBE) data for crystalline La4Dy3ErSe8 at its relaxed geometry, as listed in Alexandria via LeMat-Bulk.

Geometry as POSCAR:
```
La4Dy3ErSe8
1.0
8.309 0.000 0.000
0.000 8.449 0.093
-4.154 -4.150 5.879
La Dy Er Se
4 3 1 8
Direct
0.500 0.000 0.000
0.500 0.000 0.500
0.000 0.000 0.000
0.000 0.000 0.500
0.500 0.500 0.000
0.500 0.500 0.500
0.000 0.500 0.500
0.000 0.500 0.000
0.242 0.729 0.987
0.242 0.729 0.484
0.257 0.270 0.513
0.745 0.729 0.987
0.255 0.271 0.013
0.743 0.730 0.487
0.758 0.271 0.516
0.758 0.271 0.013
```

Computed properties:
Magnetization = 0.002 μB/atom
Raw formation energy = -1873 meV per atom
Final energy = -5.995 eV per atom
Density of states at the Fermi level = 0.63 states/eV/atom

No. 7
First-principles (PBE) data for crystalline LaDy3Er2Se6 at its relaxed geometry, as listed in Alexandria via LeMat-Bulk.

Geometry as POSCAR:
```
LaDy3Er2Se6
1.0
-4.856 5.057 1.233
2.202 -4.224 5.290
5.778 4.063 -0.757
La Dy Er Se
1 3 2 6
Direct
0.000 0.000 0.000
0.159 0.841 0.500
0.841 0.159 0.500
0.500 0.500 0.500
0.333 0.667 0.000
0.667 0.333 0.000
0.915 0.567 0.744
0.735 0.735 0.248
0.085 0.433 0.256
0.567 0.915 0.744
0.265 0.265 0.752
0.433 0.085 0.256
```

Computed properties:
Magnetization = 0.000 μB/atom
Raw formation energy = -1768 meV per atom
Final energy = -5.832 eV per atom
Density of states at the Fermi level = 0.49 states/eV/atom

No. 8
First-principles (PBE) data for crystalline La3DyEr2Se6 at its relaxed geometry, as listed in Alexandria via LeMat-Bulk.

Geometry as POSCAR:
```
La3DyEr2Se6
1.0
7.161 -0.011 -0.002
-3.589 6.197 -0.002
-1.194 -2.067 6.991
La Dy Er Se
3 1 2 6
Direct
0.166 0.834 0.500
0.834 0.166 0.500
0.500 0.500 0.500
0.000 0.000 0.000
0.333 0.667 0.000
0.667 0.333 0.000
0.924 0.588 0.772
0.740 0.740 0.228
0.076 0.412 0.228
0.588 0.924 0.772
0.260 0.260 0.772
0.412 0.076 0.228
```

Computed properties:
Magnetization = 0.000 μB/atom
Raw formation energy = -1867 meV per atom
Final energy = -5.986 eV per atom
Density of states at the Fermi level = 0.51 states/eV/atom

No. 9
First-principles (PBE) data for crystalline LaDyEr2Se6 at its relaxed geometry, as listed in Alexandria via LeMat-Bulk.

Geometry as POSCAR:
```
LaDyEr2Se6
1.0
-0.581 6.076 -3.987
-5.515 4.620 1.179
1.561 6.750 3.394
La Dy Er Se
1 1 2 6
Direct
0.809 0.809 0.572
0.317 0.317 0.048
0.516 0.516 0.453
0.011 0.011 0.966
0.614 0.229 0.246
0.229 0.911 0.246
0.911 0.614 0.246
0.386 0.729 0.746
0.729 0.139 0.746
0.139 0.386 0.746
```

Computed properties:
Magnetization = 0.000 μB/atom
Raw formation energy = -1877 meV per atom
Final energy = -5.833 eV per atom
Density of states at the Fermi level = 0.00 states/eV/atom

No. 10
First-principles (PBE) data for crystalline La2DyErSe6 at its relaxed geometry, as listed in Alexandria via LeMat-Bulk.

Geometry as POSCAR:
```
La2DyErSe6
1.0
-1.400 5.097 -5.213
-6.801 2.915 -0.609
-1.095 7.360 2.204
La Dy Er Se
2 1 1 6
Direct
0.523 0.523 0.431
0.023 0.022 0.932
0.818 0.818 0.547
0.318 0.318 0.045
0.600 0.196 0.259
0.196 0.945 0.259
0.945 0.600 0.259
0.442 0.695 0.760
0.695 0.103 0.760
0.102 0.442 0.761
```

Computed properties:
Magnetization = 0.000 μB/atom
Raw formation energy = -1916 meV per atom
Final energy = -5.909 eV per atom
Density of states at the Fermi level = 0.00 states/eV/atom

No. 11
First-principles (PBE) data for crystalline LaDy2Er3Se6 at its relaxed geometry, as listed in Alexandria via LeMat-Bulk.

Geometry as POSCAR:
```
LaDy2Er3Se6
1.0
-1.207 3.192 6.207
-3.211 -6.120 -1.551
6.612 -2.401 1.175
La Dy Er Se
1 2 3 6
Direct
0.000 0.000 0.000
0.333 0.667 0.000
0.667 0.333 0.000
0.161 0.839 0.500
0.839 0.161 0.500
0.500 0.500 0.500
0.913 0.568 0.738
0.741 0.741 0.256
0.087 0.432 0.262
0.568 0.913 0.738
0.259 0.259 0.744
0.432 0.087 0.262
```

Computed properties:
Magnetization = 0.000 μB/atom
Raw formation energy = -1762 meV per atom
Final energy = -5.822 eV per atom
Density of states at the Fermi level = 0.49 states/eV/atom

No. 12
First-principles (PBE) data for crystalline La2DyErSe4 at its relaxed geometry, as listed in Alexandria via LeMat-Bulk.

Geometry as POSCAR:
```
La2DyErSe4
1.0
-0.669 4.048 -0.232
-3.790 -0.971 -5.998
-4.609 -0.429 5.804
La Dy Er Se
2 1 1 4
Direct
0.500 0.000 0.500
0.000 0.500 0.500
0.500 0.500 0.000
0.000 0.000 0.000
0.500 0.241 0.228
0.500 0.759 0.772
0.000 0.255 0.771
0.000 0.745 0.229
```

Computed properties:
Magnetization = 0.000 μB/atom
Raw formation energy = -1869 meV per atom
Final energy = -5.989 eV per atom
Density of states at the Fermi level = 0.58 states/eV/atom

no.,calculated volume (Å³ per atom),theoretical density (g/cm³)
1,31.73,7.70
2,31.95,7.63
3,32.65,7.25
4,30.45,6.60
5,25.26,7.70
6,25.99,7.36
7,24.41,8.13
8,25.82,7.44
9,29.76,6.19
10,30.88,5.81
11,24.29,8.20
12,25.89,7.40